1.
Ag2Se PBE relaxed; N(E_F) = 0.088 states/eV per atom; total energy = -3.095 eV/atom; ΔE_f (raw) = -0.03 eV per atom; theoretical density = 7307 kg/m3
1.0
0.000 3.223 3.223
3.223 0.000 3.223
3.223 3.223 0.000
Ag Se
2 1
direct
0.250 0.250 0.250
0.750 0.750 0.750
0.000 0.000 0.000

2.
Tb4HN3 PBE relaxed; N(E_F) = 0.401 states/eV per atom; total energy = -7.203 eV/atom; theoretical density = 9316 kg/m3
1.0
3.534 -4.893 0.000
3.534 4.893 0.000
0.000 0.000 3.498
Tb H N
4 1 3
direct
0.233 0.233 0.500
0.245 0.755 0.000
0.755 0.245 0.000
0.767 0.767 0.500
0.500 0.500 0.000
0.000 0.000 0.000
0.000 0.500 0.500
0.500 0.000 0.500

3.
Nd2SmPa PBE relaxed; N(E_F) = 1.381 states/eV per atom; offset from the most stable computed form = 0.161 eV per atom; total energy = -5.613 eV/atom; energy of formation from the pure elements = 325 meV/atom; theoretical density = 8865 kg/m3
1.0
1.698 0.980 12.569
-1.698 0.980 12.569
0.000 -1.960 12.569
Nd Sm Pa
2 1 1
direct
0.086 0.086 0.086
0.914 0.914 0.914
0.500 0.500 0.500
0.000 0.000 0.000

4.
NaCd7Hg3 PBE relaxed; N(E_F) = 0.281 states/eV per atom; total energy = -0.789 eV/atom; energy of formation from the pure elements = -4 meV/atom; theoretical density = 8637 kg/m3
1.0
6.480 0.000 0.000
-3.240 5.612 0.000
0.000 0.000 7.463
Na Cd Hg
1 7 3
direct
0.000 0.000 0.000
0.333 0.667 0.689
0.345 0.172 0.656
0.508 0.016 0.013
0.508 0.492 0.013
0.828 0.172 0.656
0.828 0.655 0.656
0.984 0.492 0.013
0.168 0.336 0.335
0.168 0.832 0.335
0.664 0.832 0.335

5.
SmDy3Y4S8 PBE relaxed; N(E_F) = 0.589 states/eV per atom; total energy = -6.831 eV/atom; ΔE_f (raw) = -1.99 eV per atom; theoretical density = 6063 kg/m3
1.0
3.927 2.267 6.410
-3.927 2.267 6.410
0.000 -4.534 6.410
Sm Dy Y S
1 3 4 8
direct
0.000 0.000 0.000
0.000 0.500 0.500
0.500 0.000 0.500
0.500 0.500 0.000
0.000 0.000 0.500
0.000 0.500 0.000
0.500 0.000 0.000
0.500 0.500 0.500
0.250 0.250 0.250
0.253 0.253 0.746
0.253 0.746 0.253
0.254 0.747 0.747
0.746 0.253 0.253
0.747 0.254 0.747
0.747 0.747 0.254
0.750 0.750 0.750

6.
CaTcRh PBE relaxed; N(E_F) = 0.820 states/eV per atom; offset from the most stable computed form = 0.175 eV per atom; total energy = -6.500 eV/atom; energy of formation from the pure elements = 73 meV/atom; theoretical density = 7269 kg/m3
1.0
3.025 0.000 0.000
-0.006 4.732 0.000
-1.504 -0.832 7.692
Ca Tc Rh
2 2 2
direct
0.084 0.280 0.166
0.916 0.720 0.834
0.232 0.780 0.467
0.768 0.220 0.533
0.403 0.208 0.805
0.597 0.792 0.195